# 1
6
Lattice="4.431 0.000 0.000 -2.216 3.837 0.000 0.000 0.000 8.343" Properties=species:S:1:pos:R:3 comment="GGA-PBE La2SbPPt2, relaxed" energy_ev_per_atom=-6.4928 pbc="T T T"
La 0.000 0.000 0.000
La 0.000 0.000 3.911
Sb 2.216 1.279 6.239
P 0.000 2.558 1.975
Pt 0.000 2.558 5.890
Pt 2.216 1.279 1.870

=====

# 2
14
Lattice="5.645 0.000 0.000 -2.823 4.889 0.000 0.000 0.000 7.654" Properties=species:S:1:pos:R:3 comment="GGA-PBE CsK2ZrP2O8, relaxed" energy_ev_per_atom=-6.8030 pbc="T T T"
Cs 0.000 0.000 0.000
K 0.000 3.259 5.551
K 2.823 1.630 2.103
Zr 0.000 0.000 3.827
P 0.000 3.259 2.040
P 2.823 1.630 5.614
O 0.000 1.800 2.600
O -1.264 3.989 2.600
O 0.000 3.259 0.525
O 1.559 0.900 5.054
O 1.264 3.989 2.600
O 2.823 1.630 7.128
O 4.086 0.900 5.054
O 2.823 3.089 5.054

=====

# 3
4
Lattice="4.567 0.000 0.000 0.000 1.948 5.520 0.000 -1.948 5.520" Properties=species:S:1:pos:R:3 comment="GGA-PBE SrYPd2, relaxed" energy_ev_per_atom=-5.3265 pbc="T T T"
Sr 0.000 0.000 0.000
Y 2.283 0.000 3.023
Pd 0.000 0.000 8.030
Pd 2.283 0.000 6.242

=====

# 4
5
Lattice="0.000 2.955 5.609 2.949 0.000 5.609 2.949 2.955 0.000" Properties=species:S:1:pos:R:3 comment="GGA-PBE Pr2SnH2, relaxed" energy_ev_per_atom=-4.7518 pbc="T T T"
Pr 2.949 2.955 1.698
Pr 2.949 2.955 9.520
Sn 2.949 2.955 5.609
H 1.474 1.478 2.804
H 4.423 4.433 8.413

=====

# 5
4
Lattice="3.817 0.000 0.000 -1.909 3.306 0.000 0.000 0.000 6.550" Properties=species:S:1:pos:R:3 comment="GGA-PBE Fe2TeS, relaxed" energy_ev_per_atom=-5.6524 pbc="T T T"
Fe 0.000 0.000 1.255
Fe 0.000 0.000 5.295
Te 1.909 1.102 0.000
S 0.000 0.000 3.275

=====

# 6
3
Lattice="0.000 3.434 3.434 3.434 0.000 3.434 3.434 3.434 0.000" Properties=species:S:1:pos:R:3 comment="GGA-PBE ThTcSn, relaxed" polymorph_energy_ev_per_fu=0.000 energy_ev_per_atom=-6.7998 pbc="T T T"
Th 0.000 0.000 0.000
Tc 3.434 3.434 3.434
Sn 5.151 5.151 5.151

=====

# 7
6
Lattice="0.000 4.555 4.555 4.555 0.000 4.555 4.555 4.555 0.000" Properties=species:S:1:pos:R:3 comment="GGA-PBE Pr2Sn, relaxed" energy_ev_per_atom=-4.5341 pbc="T T T"
Pr 0.000 0.000 0.000
Pr 2.278 2.278 0.000
Pr 2.278 0.000 2.278
Pr 0.000 2.278 2.278
Sn 3.416 3.416 3.416
Sn 5.694 5.694 5.694

=====

# 8
8
Lattice="5.054 0.000 0.000 0.000 5.054 0.000 0.000 0.000 7.137" Properties=species:S:1:pos:R:3 comment="GGA-PBE SrGdCd2Au4, relaxed" energy_ev_per_atom=-3.2470 pbc="T T T"
Sr 0.000 0.000 0.000
Gd 2.527 2.527 3.568
Cd 0.000 0.000 3.568
Cd 2.527 2.527 0.000
Au 0.000 2.527 1.906
Au 0.000 2.527 5.230
Au 2.527 0.000 1.906
Au 2.527 0.000 5.230